1.
Computed, not measured: a relaxed structure of Tb8Pm3Y at the PBE level of DFT.

Density ... 7.04 Mg/m³
E ... -0.33146 Ry per atom
Formation energy ... 0.30 eV/atom
SG ... No. 71
N(E_F) ... 15.38 states/eV per cell

Unit cell a=8.7014 b=8.7014 c=8.7113 alpha=97.37 beta=98.57 gamma=136.24
Sites, in units of the cell vectors:
Tb1 0.8323 0.7504 0.5826
Tb2 0.4987 0.2523 0.2465
Pm1 0.5000 0.7467 0.2468
Tb3 0.8322 0.2496 0.0818
Tb4 0.0058 0.2522 0.7535
Tb5 0.9941 0.7477 0.2464
Y1 0.0000 0.0000 0.0000
Tb6 0.1678 0.7504 0.9182
Tb7 0.5013 0.7478 0.7536
Tb8 0.1678 0.2497 0.4174
Pm2 0.5000 0.2533 0.7532
Pm3 0.0000 0.5000 0.5000

=====

2.
Computed, not measured: a relaxed structure of Ni2OsRh at the PBE level of DFT.

Density ... 13.42 Mg/m³
E ... -0.54870 Ry per atom
Formation energy ... 0.07 eV/atom
SG ... No. 6
N(E_F) ... 5.20 states/eV per cell

Unit cell a=3.7100 b=2.6647 c=5.7866 alpha=62.60 beta=90.00 gamma=90.00
Sites, in units of the cell vectors:
Ni1 0.0000 0.9894 0.0111
Ni2 0.5000 0.2521 0.2464
Os1 0.0000 0.5051 0.4947
Rh1 0.5000 0.7533 0.7478

=====

3.
Computed, not measured: a relaxed structure of NpUPtAu at the PBE level of DFT.

Density ... 18.32 Mg/m³
E ... -0.64766 Ry per atom
Formation energy ... -0.43 eV/atom
SG ... No. 216
N(E_F) ... 5.60 states/eV per cell

Unit cell a=4.8082 b=4.8082 c=4.8082 alpha=60.00 beta=60.00 gamma=60.00
Sites, in units of the cell vectors:
Np1 0.5000 0.5000 0.5000
U1 0.7500 0.7500 0.7500
Au1 0.2500 0.2500 0.2500
Pt1 0.0000 0.0000 0.0000

=====

4.
Computed, not measured: a relaxed structure of AsRuPt2 at the PBE level of DFT.

Density ... 14.88 Mg/m³
E ... -0.46152 Ry per atom
Formation energy ... 0.22 eV/atom
SG ... No. 35
N(E_F) ... 4.48 states/eV per cell

Unit cell a=2.7954 b=2.7954 c=9.3067 alpha=90.00 beta=90.00 gamma=119.67
Sites, in units of the cell vectors:
Pt1 0.0000 0.0000 0.9974
Ru1 0.0000 0.0000 0.5088
Pt2 0.5000 0.5000 0.2587
As1 0.5000 0.5000 0.7351

=====

5.
Computed, not measured: a relaxed structure of GaCo3Au at the PBE level of DFT.

Density ... 9.10 Mg/m³
Distance to the lowest polymorph of the same formula ... 0.0 meV/atom
E ... -0.33519 Ry per atom
Formation energy ... 0.96 eV/atom
SG ... No. 221
N(E_F) ... 7.47 states/eV per cell

Unit cell a=4.3258 b=4.3258 c=4.3258 alpha=90.00 beta=90.00 gamma=90.00
Sites, in units of the cell vectors:
Co1 0.0000 0.0000 0.5000
Ga1 0.0000 0.0000 0.0000
Co2 0.0000 0.5000 0.0000
Co3 0.5000 0.0000 0.0000
Au1 0.5000 0.5000 0.5000

=====

6.
Computed, not measured: a relaxed structure of BaTaRh2 at the PBE level of DFT.

Density ... 11.37 Mg/m³
Distance to the lowest polymorph of the same formula ... 870.7 meV/atom
E ... -0.47662 Ry per atom
Formation energy ... 0.63 eV/atom
SG ... No. 216
N(E_F) ... 4.21 states/eV per cell

Unit cell a=4.7659 b=4.7659 c=4.7659 alpha=60.00 beta=60.00 gamma=60.00
Sites, in units of the cell vectors:
Ba1 0.5000 0.5000 0.5000
Ta1 0.2500 0.2500 0.2500
Rh1 0.7500 0.7500 0.7500
Rh2 0.0000 0.0000 0.0000

=====

7.
Computed, not measured: a relaxed structure of FeSi2Pt at the PBE level of DFT.

Density ... 9.72 Mg/m³
E ... -0.49138 Ry per atom
E_form (uncorrected) ... -0.348 eV/atom
SG ... No. 25
N(E_F) ... 2.44 states/eV per cell

Unit cell a=4.4555 b=2.8264 c=4.1665 alpha=90.00 beta=90.00 gamma=90.00
Sites, in units of the cell vectors:
Pt1 0.5000 0.8750 0.7480
Fe1 0.0000 0.3751 0.4858
Si1 0.0000 0.8749 0.0197
Si2 0.5000 0.3749 0.2465

=====

8.
Computed, not measured: a relaxed structure of DyTm2Mg at the PBE level of DFT.

Density ... 7.57 Mg/m³
Distance to the lowest polymorph of the same formula ... 59.5 meV/atom
E ... -0.27572 Ry per atom
Formation energy ... 0.03 eV/atom
SG ... No. 123
N(E_F) ... 7.70 states/eV per cell

Unit cell a=4.8861 b=4.8544 c=4.8544 alpha=90.00 beta=90.00 gamma=90.00
Sites, in units of the cell vectors:
Mg1 0.5000 0.5000 0.5000
Tm1 0.0000 0.0000 0.5000
Tm2 0.0000 0.5000 0.0000
Dy1 0.5000 0.0000 0.0000

=====

9.
Computed, not measured: a relaxed structure of CuSi2Ru at the PBE level of DFT.

Density ... 7.17 Mg/m³
Distance to the lowest polymorph of the same formula ... 119.1 meV/atom
E ... -0.45704 Ry per atom
E_form (uncorrected) ... -0.164 eV/atom
SG ... No. 47
N(E_F) ... 1.90 states/eV per cell

Unit cell a=3.2571 b=2.9405 c=6.0966 alpha=61.12 beta=90.00 gamma=90.00
Sites, in units of the cell vectors:
Si1 0.0000 0.9945 0.0060
Ru1 0.5000 0.7500 0.7500
Cu1 0.5000 0.2500 0.2500
Si2 0.0000 0.5055 0.4940

=====

10.
Computed, not measured: a relaxed structure of ScInRh at the PBE level of DFT.

Density ... 6.56 Mg/m³
E ... -0.40435 Ry per atom
Formation energy ... -0.03 eV/atom
SG ... No. 216
N(E_F) ... 2.60 states/eV per cell

Unit cell a=4.5466 b=4.5466 c=4.5466 alpha=60.00 beta=60.00 gamma=60.00
Sites, in units of the cell vectors:
In1 0.0000 0.0000 0.0000
Rh1 0.5000 0.5000 0.5000
Sc1 0.7500 0.7500 0.7500

=====

11.
Computed, not measured: a relaxed structure of Dy5Ho3H12 at the PBE level of DFT.

Density ... 7.95 Mg/m³
E ... -0.31728 Ry per atom
SG ... No. 230
N(E_F) ... 42.53 states/eV per cell

Unit cell a=11.2716 b=11.2716 c=11.2716 alpha=109.47 beta=109.47 gamma=109.47
Sites, in units of the cell vectors:
H1 0.8447 0.2763 0.4337
H2 0.8426 0.9110 0.0663
Dy1 0.1250 0.3750 0.2500
Ho1 0.3750 0.6250 0.2500
Dy2 0.8750 0.2500 0.6250
H3 0.9316 0.8426 0.7763
H4 0.6553 0.0663 0.2237
Ho2 0.6250 0.3750 0.7500
Ho3 0.7500 0.3750 0.1250
H5 0.4337 0.6574 0.0890
Dy3 0.7500 0.1250 0.8750
H6 0.3447 0.9337 0.7763
H7 0.1574 0.0890 0.9337
H8 0.4316 0.2763 0.3426
Dy4 0.6250 0.7500 0.8750
H9 0.5663 0.2237 0.1553
Dy5 0.0000 0.0000 0.0000
H10 0.0684 0.1574 0.2237
H11 0.9110 0.8426 0.5663
Ho4 0.1250 0.2500 0.8750
H12 0.5890 0.9337 0.6574
H13 0.3447 0.4110 0.0684
H14 0.7237 0.5684 0.1574
H15 0.2237 0.6574 0.0684
Dy6 0.5000 0.0000 0.0000
Ho5 0.8750 0.1250 0.2500
H16 0.1574 0.0684 0.7237
H17 0.2763 0.4316 0.8426
Dy7 0.0000 0.5000 0.0000
H18 0.7237 0.1553 0.0663
H19 0.2763 0.8447 0.9337
Dy8 0.6250 0.8750 0.2500
H20 0.5684 0.7237 0.6574
H21 0.9337 0.3447 0.2763
H22 0.7763 0.4337 0.3447
H23 0.2237 0.5663 0.6553
Ho6 0.1250 0.8750 0.7500
H24 0.6553 0.5890 0.9316
Dy9 0.0000 0.0000 0.5000
H25 0.5890 0.6553 0.4316
Dy10 0.7500 0.6250 0.3750
H26 0.8426 0.9316 0.2763
H27 0.4316 0.1553 0.5890
Dy11 0.5000 0.5000 0.0000
H28 0.9316 0.0890 0.6553
H29 0.0684 0.9110 0.3447
H30 0.5663 0.3426 0.9110
H31 0.3426 0.7763 0.4316
H32 0.8447 0.5684 0.9110
H33 0.3426 0.5663 0.4110
Ho7 0.8750 0.7500 0.1250
Ho8 0.6250 0.2500 0.3750
Dy12 0.1250 0.7500 0.3750
H34 0.4110 0.3447 0.5684
Ho9 0.3750 0.7500 0.6250
H35 0.0663 0.4110 0.8426
Dy13 0.5000 0.0000 0.5000
H36 0.4110 0.0663 0.3426
H37 0.9110 0.0684 0.8447
Dy14 0.8750 0.6250 0.7500
Dy15 0.3750 0.2500 0.1250
H38 0.1553 0.4316 0.0890
H39 0.9337 0.5890 0.1574
H40 0.5684 0.8447 0.4110
H41 0.6574 0.4337 0.5890
Dy16 0.0000 0.5000 0.5000
Ho10 0.7500 0.8750 0.6250
H42 0.1553 0.7237 0.5663
Dy17 0.2500 0.3750 0.6250
H43 0.0890 0.9316 0.1553
H44 0.7763 0.3426 0.9316
Dy18 0.3750 0.1250 0.7500
Dy19 0.5000 0.5000 0.5000
Dy20 0.2500 0.8750 0.1250
H45 0.4337 0.7763 0.8447
H46 0.0890 0.1574 0.4337
Ho11 0.2500 0.6250 0.8750
Ho12 0.2500 0.1250 0.3750
H47 0.0663 0.6553 0.7237
H48 0.6574 0.2237 0.5684

=====

12.
Computed, not measured: a relaxed structure of AsPBr2 at the PBE level of DFT.

Density ... 3.49 Mg/m³
Distance to the lowest polymorph of the same formula ... 474.6 meV/atom
E ... -0.22340 Ry per atom
E_form (uncorrected) ... 0.312 eV/atom
SG ... No. 35
N(E_F) ... 1.55 states/eV per cell

Unit cell a=4.6636 b=4.6636 c=8.2182 alpha=90.00 beta=90.00 gamma=135.03
Sites, in units of the cell vectors:
P1 0.0000 0.0000 0.5309
Br1 0.5000 0.5000 0.2839
Br2 0.0000 0.0000 0.9734
As1 0.5000 0.5000 0.7118